Record 1
Density functional theory data (GGA-PBE) for a relaxed structure of ScBi2SbAu.

Cell lengths 5.558, 5.296, 5.558 Å; angles 90.00, 90.00, 90.00 degrees
Atoms (fractional coordinates):
Sc1 0.500 0.500 0.500
Sb1 0.000 0.500 0.000
Au1 0.000 0.000 0.000
Bi1 0.000 0.000 0.500
Bi2 0.500 0.000 0.000

Crystal system = tetragonal
Space-group type = P4/mmm, No. 123
Formation energy without anion corrections = 0.42 eV/atom
VASP energy = -0.28534 Ry per atom
Density = 7.93 g/cm3

Record 2
Density functional theory data (GGA-PBE) for a relaxed structure of SnBi2SbAu5.

Cell lengths 4.113, 9.739, 11.397 Å; angles 90.00, 90.00, 102.19 degrees
Atoms (fractional coordinates):
Sn1 0.760 0.519 0.527
Sn2 0.240 0.481 0.027
Bi1 0.858 0.717 0.808
Bi2 0.096 0.193 0.667
Bi3 0.142 0.283 0.308
Bi4 0.904 0.807 0.167
Sb1 0.568 0.136 0.937
Sb2 0.432 0.864 0.437
Au1 0.392 0.785 0.986
Au2 0.702 0.403 0.856
Au3 0.480 0.959 0.753
Au4 0.252 0.504 0.700
Au5 0.942 0.885 0.589
Au6 0.608 0.215 0.486
Au7 0.298 0.597 0.356
Au8 0.520 0.041 0.253
Au9 0.748 0.496 0.200
Au10 0.058 0.115 0.089

Crystal system = orthorhombic
Space-group type = Cmc2_1, No. 36
Formation energy without anion corrections = -0.03 eV/atom
VASP energy = -0.26589 Ry per atom
Density = 12.23 g/cm3